Record 1
VASP calculation (PBE) on a relaxed NaSmI6 crystal.

The value obtained for the density of states at the Fermi level is 70.183 states/eV per cell. The formation energy from raw total energies comes out at -765 meV/atom.

It has space group Fm-3m (No. 225), with a = 12.4214 Å, b = 12.4214 Å, c = 12.4214 Å, α = 90.00°, β = 90.00° and γ = 90.00°. The asymmetric unit holds Na at (0.0000, 0.0000, 0.0000), Sm at (0.0000, 0.0000, 0.5000) and I at (0.0000, 0.0000, 0.2540).

---

Record 2
VASP calculation (PBE) on a relaxed LiPuScRu crystal.

The value obtained for the density of states at the Fermi level is 34.744 states/eV per cell. The calculation puts the energy of formation at -0.13 eV per atom.

It has space group F-43m (No. 216), with a = 6.7107 Å, b = 6.7107 Å, c = 6.7107 Å, α = 90.00°, β = 90.00° and γ = 90.00°. The asymmetric unit holds Li at (0.0000, 0.0000, 0.0000), Pu at (0.2500, 0.2500, 0.2500), Sc at (0.2500, 0.2500, 0.7500) and Ru at (0.0000, 0.0000, 0.5000).

---

Record 3
VASP calculation (PBE) on a relaxed TlTeOF2 crystal.

The value obtained for the density of states at the Fermi level is 1.371 states/eV per cell. The formation energy from raw total energies comes out at -1270 meV/atom. Its distance to the lowest polymorph of the same formula is 0.0 meV per atom.

It has space group P4/mmm (No. 123), with a = 4.8401 Å, b = 4.8401 Å, c = 4.1366 Å, α = 90.00°, β = 90.00° and γ = 90.00°. The asymmetric unit holds Tl at (0.0000, 0.0000, 0.0000), Te at (0.5000, 0.5000, 0.5000), O at (0.5000, 0.5000, 0.0000) and F at (0.0000, 0.5000, 0.5000).

---

Record 4
VASP calculation (PBE) on a relaxed Pm2Ge7Au12 crystal.

The value obtained for the density of states at the Fermi level is 8.502 states/eV per cell. The calculation puts the energy of formation at -0.23 eV per atom.

It has space group P-3 (No. 147), with a = 10.1992 Å, b = 10.1992 Å, c = 4.6974 Å, α = 90.00°, β = 90.00° and γ = 120.00°. The asymmetric unit holds Pm at (0.3333, 0.6667, 0.2266), Ge at (0.0000, 0.0000, 0.5000), Ge at (0.1133, 0.7252, 0.6662), Au at (0.0698, 0.4621, 0.7730) and Au at (0.1272, 0.2677, 0.1769).